(1)
Here is a relaxed AcB3IrOs crystal from Alexandria via LeMat-Bulk. Energies are from GGA-PBE.

* DFT formation energy: -0.28 eV/atom

Geometry as CIF:
```
data_AcB3IrOs
_space_group_name_H-M_alt 'C m c m'
_space_group_IT_number 63
_space_group_name_Hall '-C 2c 2'
_cell_length_a 5.534
_cell_length_b 10.659
_cell_length_c 6.142
_cell_angle_alpha 90.00
_cell_angle_beta 90.00
_cell_angle_gamma 90.00
loop_
_atom_site_label
_atom_site_type_symbol
_atom_site_fract_x
_atom_site_fract_y
_atom_site_fract_z
_atom_site_occupancy
Ac1 Ac 0.000 0.238 0.250 1
B1 B 0.000 0.275 0.750 1
B2 B 0.216 0.000 0.000 1
Ir1 Ir 0.000 0.087 0.750 1
Os1 Os 0.000 0.459 0.750 1
```



(2)
Here is a relaxed AcB2IrOs crystal from Alexandria via LeMat-Bulk. Energies are from GGA-PBE.

* DFT formation energy: -0.49 eV/atom

Geometry as CIF:
```
data_AcB2IrOs
_space_group_name_H-M_alt 'I -4 m 2'
_space_group_IT_number 119
_space_group_name_Hall 'I -4 -2'
_cell_length_a 4.008
_cell_length_b 4.008
_cell_length_c 10.604
_cell_angle_alpha 90.00
_cell_angle_beta 90.00
_cell_angle_gamma 90.00
loop_
_atom_site_label
_atom_site_type_symbol
_atom_site_fract_x
_atom_site_fract_y
_atom_site_fract_z
_atom_site_occupancy
Ac1 Ac 0.000 0.000 0.000 1
B1 B 0.000 0.000 0.322 1
Ir1 Ir 0.000 0.500 0.250 1
Os1 Os 0.000 0.500 0.750 1
```



(3)
Here is a relaxed Ac2B12IrOs3 crystal from Alexandria via LeMat-Bulk. Energies are from GGA-PBE.

* DFT formation energy: 0.48 eV/atom

Geometry as CIF:
```
data_Ac2B12IrOs3
_space_group_name_H-M_alt 'R -3 m'
_space_group_IT_number 166
_space_group_name_Hall '-R 3 2"'
_cell_length_a 8.0224
_cell_length_b 8.0224
_cell_length_c 21.8315
_cell_angle_alpha 90.00
_cell_angle_beta 90.00
_cell_angle_gamma 120.00
loop_
_atom_site_label
_atom_site_type_symbol
_atom_site_fract_x
_atom_site_fract_y
_atom_site_fract_z
_atom_site_occupancy
Ac1 Ac 0.0000 0.0000 0.2403 1
B1 B 0.0772 0.1545 0.4141 1
B2 B 0.1047 0.2095 0.6420 1
Ir1 Ir 0.0000 0.0000 0.5000 1
Os1 Os 0.0000 0.5000 0.0000 1
```



(4)
Here is a relaxed AcBPIr6 crystal from Alexandria via LeMat-Bulk. Energies are from GGA-PBE.

* DFT formation energy: -0.04 eV/atom

Geometry as CIF:
```
data_AcBPIr6
_space_group_name_H-M_alt 'I m m a'
_space_group_IT_number 74
_space_group_name_Hall '-I 2b 2'
_cell_length_a 7.059
_cell_length_b 8.223
_cell_length_c 11.034
_cell_angle_alpha 90.00
_cell_angle_beta 90.00
_cell_angle_gamma 90.00
loop_
_atom_site_label
_atom_site_type_symbol
_atom_site_fract_x
_atom_site_fract_y
_atom_site_fract_z
_atom_site_occupancy
Ac1 Ac 0.000 0.250 0.162 1
B1 B 0.000 0.000 0.500 1
P1 P 0.250 0.250 0.750 1
Ir1 Ir 0.000 0.250 0.458 1
Ir2 Ir 0.000 0.250 0.883 1
Ir3 Ir 0.212 0.029 0.626 1
```



(5)
Here is a relaxed Ac2BIrPt6 crystal from Alexandria via LeMat-Bulk. Energies are from GGA-PBE.

* DFT formation energy: -0.74 eV/atom

Geometry as CIF:
```
data_Ac2BIrPt6
_space_group_name_H-M_alt 'R -3 m'
_space_group_IT_number 166
_space_group_name_Hall '-R 3 2"'
_cell_length_a 5.8170
_cell_length_b 5.8170
_cell_length_c 20.0460
_cell_angle_alpha 90.00
_cell_angle_beta 90.00
_cell_angle_gamma 120.00
loop_
_atom_site_label
_atom_site_type_symbol
_atom_site_fract_x
_atom_site_fract_y
_atom_site_fract_z
_atom_site_occupancy
Ac1 Ac 0.0000 0.0000 0.2120 1
B1 B 0.0000 0.0000 0.0000 1
Ir1 Ir 0.0000 0.0000 0.5000 1
Pt1 Pt 0.0202 0.5101 0.2758 1
```



(6)
Here is a relaxed Ac2BIrRu crystal from Alexandria via LeMat-Bulk. Energies are from GGA-PBE.

* DFT formation energy: -0.42 eV/atom

Geometry as CIF:
```
data_Ac2BIrRu
_space_group_name_H-M_alt 'P 4/n m m'
_space_group_IT_number 129
_cell_length_a 4.170
_cell_length_b 4.170
_cell_length_c 14.175
_cell_angle_alpha 90.00
_cell_angle_beta 90.00
_cell_angle_gamma 90.00
loop_
_space_group_symop_operation_xyz
'x,y,z'
'-x,-y,-z'
'-y+1/2,x,z'
'y+1/2,-x,-z'
'-x+1/2,-y+1/2,z'
'x+1/2,y+1/2,-z'
'y,-x+1/2,z'
'-y,x+1/2,-z'
'x+1/2,-y,-z'
'-x+1/2,y,z'
'-y,-x,-z'
'y,x,z'
'-x,y+1/2,-z'
'x,-y+1/2,z'
'y+1/2,x+1/2,-z'
'-y+1/2,-x+1/2,z'
loop_
_atom_site_label
_atom_site_type_symbol
_atom_site_fract_x
_atom_site_fract_y
_atom_site_fract_z
_atom_site_occupancy
Ac1 Ac 0.250 0.250 0.098 1
Ac2 Ac 0.250 0.250 0.668 1
B1 B 0.250 0.250 0.451 1
Ir1 Ir 0.250 0.250 0.875 1
Ru1 Ru 0.250 0.750 0.500 1
```



(7)
Here is a relaxed Ac2Si2BIr2 crystal from Alexandria via LeMat-Bulk. Energies are from GGA-PBE.

* formation energy from raw total energies: -0.81 eV per atom

Geometry as CIF:
```
data_Ac2Si2BIr2
_space_group_name_H-M_alt 'C 1 2/m 1'
_space_group_IT_number 12
_cell_length_a 11.662
_cell_length_b 4.247
_cell_length_c 7.467
_cell_angle_alpha 90.00
_cell_angle_beta 126.91
_cell_angle_gamma 90.00
loop_
_space_group_symop_operation_xyz
'x,y,z'
'-x,-y,-z'
'-x,y,-z'
'x,-y,z'
'x+1/2,y+1/2,z'
'-x+1/2,-y+1/2,-z'
'-x+1/2,y+1/2,-z'
'x+1/2,-y+1/2,z'
loop_
_atom_site_label
_atom_site_type_symbol
_atom_site_fract_x
_atom_site_fract_y
_atom_site_fract_z
_atom_site_occupancy
Ac1 Ac 0.063 0.000 0.317 1
Si1 Si 0.189 0.500 0.746 1
B1 B 0.000 0.500 0.000 1
Ir1 Ir 0.195 0.500 0.078 1
```



(8)
Here is a relaxed AcSnBIr3 crystal from Alexandria via LeMat-Bulk. Energies are from GGA-PBE.

* DFT formation energy: -0.42 eV/atom

Geometry as CIF:
```
data_AcSnBIr3
_space_group_name_H-M_alt 'C m c m'
_space_group_IT_number 63
_space_group_name_Hall '-C 2c 2'
_cell_length_a 6.024
_cell_length_b 13.046
_cell_length_c 6.011
_cell_angle_alpha 90.00
_cell_angle_beta 90.00
_cell_angle_gamma 90.00
loop_
_atom_site_label
_atom_site_type_symbol
_atom_site_fract_x
_atom_site_fract_y
_atom_site_fract_z
_atom_site_occupancy
Ac1 Ac 0.000 0.247 0.250 1
Sn1 Sn 0.000 0.118 0.750 1
B1 B 0.000 0.477 0.750 1
Ir1 Ir 0.000 0.317 0.750 1
Ir2 Ir 0.236 0.500 0.000 1
```



(9)
Here is a relaxed AcZn2BIr2 crystal from Alexandria via LeMat-Bulk. Energies are from GGA-PBE.

* DFT formation energy: -0.51 eV/atom

Geometry as CIF:
```
data_AcZn2BIr2
_space_group_name_H-M_alt 'P 4/m m m'
_space_group_IT_number 123
_space_group_name_Hall '-P 4 2'
_cell_length_a 4.201
_cell_length_b 4.201
_cell_length_c 5.913
_cell_angle_alpha 90.00
_cell_angle_beta 90.00
_cell_angle_gamma 90.00
loop_
_atom_site_label
_atom_site_type_symbol
_atom_site_fract_x
_atom_site_fract_y
_atom_site_fract_z
_atom_site_occupancy
Ac1 Ac 0.000 0.000 0.000 1
Zn1 Zn 0.500 0.500 0.225 1
B1 B 0.000 0.000 0.500 1
Ir1 Ir 0.000 0.500 0.500 1
```



(10)
Here is a relaxed KAcB12 crystal from Alexandria via LeMat-Bulk. Energies are from GGA-PBE.

* DFT formation energy: -0.37 eV/atom

Geometry as CIF:
```
data_KAcB12
_space_group_name_H-M_alt 'F m -3 m'
_space_group_IT_number 225
_space_group_name_Hall '-F 4 2 3'
_cell_length_a 8.439
_cell_length_b 8.439
_cell_length_c 8.439
_cell_angle_alpha 90.00
_cell_angle_beta 90.00
_cell_angle_gamma 90.00
loop_
_atom_site_label
_atom_site_type_symbol
_atom_site_fract_x
_atom_site_fract_y
_atom_site_fract_z
_atom_site_occupancy
K1 K 0.000 0.000 0.000 1
Ac1 Ac 0.000 0.000 0.500 1
B1 B 0.102 0.250 0.250 1
```



(11)
Here is a relaxed KAcBN2 crystal from Alexandria via LeMat-Bulk. Energies are from GGA-PBE.

* formation energy from raw total energies: -0.83 eV per atom

Geometry as CIF:
```
data_KAcBN2
_space_group_name_H-M_alt 'P 1 2/c 1'
_space_group_IT_number 13
_cell_length_a 7.359
_cell_length_b 5.668
_cell_length_c 7.979
_cell_angle_alpha 90.00
_cell_angle_beta 122.36
_cell_angle_gamma 90.00
loop_
_space_group_symop_operation_xyz
'x,y,z'
'-x,-y,-z'
'-x,y,-z+1/2'
'x,-y,z+1/2'
loop_
_atom_site_label
_atom_site_type_symbol
_atom_site_fract_x
_atom_site_fract_y
_atom_site_fract_z
_atom_site_occupancy
K1 K 0.000 0.094 0.250 1
Ac1 Ac 0.500 0.499 0.750 1
B1 B 0.500 0.000 0.000 1
N1 N 0.438 0.228 0.469 1
```



(12)
Here is a relaxed KAcB2O6 crystal from Alexandria via LeMat-Bulk. Energies are from GGA-PBE.

* formation energy from raw total energies: -2.29 eV per atom

Geometry as CIF:
```
data_KAcB2O6
_space_group_name_H-M_alt 'C 1 2/c 1'
_space_group_IT_number 15
_cell_length_a 8.692
_cell_length_b 10.757
_cell_length_c 7.772
_cell_angle_alpha 90.00
_cell_angle_beta 110.38
_cell_angle_gamma 90.00
loop_
_space_group_symop_operation_xyz
'x,y,z'
'-x,-y,-z'
'-x,y,-z+1/2'
'x,-y,z+1/2'
'x+1/2,y+1/2,z'
'-x+1/2,-y+1/2,-z'
'-x+1/2,y+1/2,-z+1/2'
'x+1/2,-y+1/2,z+1/2'
loop_
_atom_site_label
_atom_site_type_symbol
_atom_site_fract_x
_atom_site_fract_y
_atom_site_fract_z
_atom_site_occupancy
K1 K 0.000 0.124 0.250 1
Ac1 Ac 0.000 0.412 0.750 1
B1 B 0.237 0.364 0.244 1
O1 O 0.097 0.388 0.096 1
O2 O 0.194 0.251 0.718 1
O3 O 0.204 0.035 0.647 1
```



(13)
Here is a relaxed KAc3B2O8 crystal from Alexandria via LeMat-Bulk. Energies are from GGA-PBE.

* formation energy from raw total energies: -2.80 eV per atom

Geometry as CIF:
```
data_KAc3B2O8
_space_group_name_H-M_alt 'P -3 m 1'
_space_group_IT_number 164
_space_group_name_Hall '-P 3 2"'
_cell_length_a 5.3828
_cell_length_b 5.3828
_cell_length_c 7.9117
_cell_angle_alpha 90.00
_cell_angle_beta 90.00
_cell_angle_gamma 120.00
loop_
_atom_site_label
_atom_site_type_symbol
_atom_site_fract_x
_atom_site_fract_y
_atom_site_fract_z
_atom_site_occupancy
K1 K 0.0000 0.0000 0.0000 1
Ac1 Ac 0.0000 0.0000 0.5000 1
Ac2 Ac 0.3333 0.6667 0.2181 1
B1 B 0.3333 0.6667 0.6931 1
O1 O 0.1828 0.3656 0.7559 1
O2 O 0.3333 0.6667 0.5006 1
```



(14)
Here is a relaxed KAc2B2O6 crystal from Alexandria via LeMat-Bulk. Energies are from GGA-PBE.

* formation energy from raw total energies: -2.55 eV per atom

Geometry as CIF:
```
data_KAc2B2O6
_space_group_name_H-M_alt 'P -3 m 1'
_space_group_IT_number 164
_space_group_name_Hall '-P 3 2"'
_cell_length_a 5.2945
_cell_length_b 5.2945
_cell_length_c 7.7657
_cell_angle_alpha 90.00
_cell_angle_beta 90.00
_cell_angle_gamma 120.00
loop_
_atom_site_label
_atom_site_type_symbol
_atom_site_fract_x
_atom_site_fract_y
_atom_site_fract_z
_atom_site_occupancy
K1 K 0.0000 0.0000 0.0000 1
Ac1 Ac 0.3333 0.6667 0.3272 1
B1 B 0.3333 0.6667 0.7126 1
O1 O 0.1830 0.3661 0.6995 1
```



(15)
Here is a relaxed K3AcB2O6 crystal from Alexandria via LeMat-Bulk. Energies are from GGA-PBE.

* formation energy from raw total energies: -2.45 eV per atom

Geometry as CIF:
```
data_K3AcB2O6
_space_group_name_H-M_alt 'P -3 m 1'
_space_group_IT_number 164
_space_group_name_Hall '-P 3 2"'
_cell_length_a 5.7477
_cell_length_b 5.7477
_cell_length_c 7.1376
_cell_angle_alpha 90.00
_cell_angle_beta 90.00
_cell_angle_gamma 120.00
loop_
_atom_site_label
_atom_site_type_symbol
_atom_site_fract_x
_atom_site_fract_y
_atom_site_fract_z
_atom_site_occupancy
K1 K 0.0000 0.0000 0.0000 1
K2 K 0.3333 0.6667 0.7818 1
Ac1 Ac 0.0000 0.0000 0.5000 1
B1 B 0.3333 0.6667 0.2759 1
O1 O 0.1931 0.3863 0.2755 1
```



(16)
Here is a relaxed KAcBO4 crystal from Alexandria via LeMat-Bulk. Energies are from GGA-PBE.

* formation energy from raw total energies: -2.30 eV per atom

Geometry as CIF:
```
data_KAcBO4
_space_group_name_H-M_alt 'C m c m'
_space_group_IT_number 63
_space_group_name_Hall '-C 2c 2'
_cell_length_a 5.735
_cell_length_b 9.435
_cell_length_c 7.488
_cell_angle_alpha 90.00
_cell_angle_beta 90.00
_cell_angle_gamma 90.00
loop_
_atom_site_label
_atom_site_type_symbol
_atom_site_fract_x
_atom_site_fract_y
_atom_site_fract_z
_atom_site_occupancy
K1 K 0.000 0.000 0.000 1
Ac1 Ac 0.000 0.310 0.250 1
B1 B 0.000 0.363 0.750 1
O1 O 0.000 0.272 0.588 1
O2 O 0.211 0.452 0.750 1
```



(17)
Here is a relaxed KAc2BO5 crystal from Alexandria via LeMat-Bulk. Energies are from GGA-PBE.

* formation energy from raw total energies: -2.79 eV per atom

Geometry as CIF:
```
data_KAc2BO5
_space_group_name_H-M_alt 'I 4/m c m'
_space_group_IT_number 140
_space_group_name_Hall '-I 4 2c'
_cell_length_a 7.235
_cell_length_b 7.235
_cell_length_c 9.999
_cell_angle_alpha 90.00
_cell_angle_beta 90.00
_cell_angle_gamma 90.00
loop_
_atom_site_label
_atom_site_type_symbol
_atom_site_fract_x
_atom_site_fract_y
_atom_site_fract_z
_atom_site_occupancy
K1 K 0.000 0.000 0.250 1
Ac1 Ac 0.187 0.313 0.000 1
B1 B 0.000 0.500 0.250 1
O1 O 0.000 0.000 0.000 1
O2 O 0.117 0.383 0.343 1
```



(18)
Here is a relaxed KAc3B4O12 crystal from Alexandria via LeMat-Bulk. Energies are from GGA-PBE.

* formation energy from raw total energies: -2.67 eV per atom

Geometry as CIF:
```
data_KAc3B4O12
_space_group_name_H-M_alt 'R 3 2'
_space_group_IT_number 155
_space_group_name_Hall 'R 3 2"'
_cell_length_a 10.8549
_cell_length_b 10.8549
_cell_length_c 9.8271
_cell_angle_alpha 90.00
_cell_angle_beta 90.00
_cell_angle_gamma 120.00
loop_
_atom_site_label
_atom_site_type_symbol
_atom_site_fract_x
_atom_site_fract_y
_atom_site_fract_z
_atom_site_occupancy
K1 K 0.0000 0.0000 0.0000 1
Ac1 Ac 0.0000 0.5284 0.0000 1
B1 B 0.0000 0.0000 0.5000 1
B2 B 0.0000 0.4761 0.5000 1
O1 O 0.0000 0.6036 0.5000 1
O2 O 0.0000 0.8719 0.5000 1
O3 O 0.0181 0.2100 0.8072 1
```



(19)
Here is a relaxed KAc3B4S12 crystal from Alexandria via LeMat-Bulk. Energies are from GGA-PBE.

* formation energy from raw total energies: -0.98 eV per atom

Geometry as CIF:
```
data_KAc3B4S12
_space_group_name_H-M_alt 'R 3 2'
_space_group_IT_number 155
_space_group_name_Hall 'R 3 2"'
_cell_length_a 13.1247
_cell_length_b 13.1247
_cell_length_c 11.7671
_cell_angle_alpha 90.00
_cell_angle_beta 90.00
_cell_angle_gamma 120.00
loop_
_atom_site_label
_atom_site_type_symbol
_atom_site_fract_x
_atom_site_fract_y
_atom_site_fract_z
_atom_site_occupancy
K1 K 0.0000 0.0000 0.0000 1
Ac1 Ac 0.0000 0.5244 0.0000 1
B1 B 0.0000 0.0000 0.5000 1
B2 B 0.0000 0.4721 0.5000 1
S1 S 0.0000 0.6110 0.5000 1
S2 S 0.0000 0.8615 0.5000 1
S3 S 0.0043 0.1946 0.8243 1
```



Sequential E output: -7.650; -7.998; -6.792; -7.749; -6.743; -7.030; -7.019; -7.317; -5.686; -6.463; -6.536; -7.125; -7.549; -7.315; -6.656; -6.828; -7.323; -7.651; -5.459 eV per atom